(1)
{"formula": "Bi2BCS", "functional": "GGA-PBE", "state": "optimized geometry", "e_form_raw_ev_per_atom": 0.62, "sg": "No. 123", "density_g_cm3": 7.99, "cell": [[5.757, 0.000, 0.000], [0.000, 5.757, 0.000], [0.000, 0.000, 2.966]], "species": ["Bi", "Bi", "B", "C", "S"], "fractional_positions": [[0.000, 0.500, 0.000], [0.500, 0.000, 0.000], [0.000, 0.000, 0.500], [0.000, 0.000, 0.000], [0.500, 0.500, 0.500]]}

(2)
{"formula": "BiBTeC2", "functional": "GGA-PBE", "state": "optimized geometry", "e_form_raw_ev_per_atom": 2.87, "sg": "No. 123", "density_g_cm3": 6.28, "cell": [[4.573, 0.000, 0.000], [0.000, 4.573, 0.000], [0.000, 0.000, 4.695]], "species": ["Bi", "B", "Te", "C", "C"], "fractional_positions": [[0.000, 0.000, 0.000], [0.000, 0.000, 0.500], [0.500, 0.500, 0.500], [0.000, 0.500, 0.000], [0.500, 0.000, 0.000]]}

(3)
{"formula": "ZrBi2BC", "functional": "GGA-PBE", "state": "optimized geometry", "sg": "No. 123", "formation_enthalpy_0k_mev_per_atom": 2057, "density_g_cm3": 6.19, "cell": [[5.651, 0.000, 0.000], [0.000, 5.651, 0.000], [0.000, 0.000, 4.467]], "species": ["Zr", "Bi", "Bi", "B", "C"], "fractional_positions": [[0.000, 0.000, 0.000], [0.000, 0.500, 0.000], [0.500, 0.000, 0.000], [0.000, 0.000, 0.500], [0.500, 0.500, 0.500]]}

(4)
{"formula": "Ca2BiB", "functional": "GGA-PBE", "state": "optimized geometry", "sg": "No. 225", "polymorph_energy_mev_per_atom": 0, "formation_enthalpy_0k_mev_per_atom": 207, "density_g_cm3": 4.93, "cell": [[0.000, 3.698, 3.698], [3.698, 0.000, 3.698], [3.698, 3.698, 0.000]], "species": ["Ca", "Ca", "Bi", "B"], "fractional_positions": [[0.250, 0.250, 0.250], [0.750, 0.750, 0.750], [0.000, 0.000, 0.000], [0.500, 0.500, 0.500]]}